Here is Sc2GaP at its PBEsol-relaxed geometry from the Alexandria database. Energies are from meta-GGA SCAN.

The calculation puts the theoretical density at 4.504 g/cm³. The energy of formation from the pure elements comes out at -2.72 eV per formula unit. For the density of states at the Fermi level, the calculation gives 3.43 states/eV/f.u.

```
Sc2GaP
1.0
-4.631 0.038 0.104
-2.294 -3.365 2.207
-2.220 0.923 3.959
P Sc Ga
1 2 1
direct
0.000 0.000 0.000
0.750 0.750 0.750
0.250 0.250 0.250
0.500 0.500 0.500
```